YV2FeBr: optimized geometry, GGA-PBE.

Results
Formation energy without anion corrections = 0.64 eV per atom

Lattice parameters (Å, degrees): 4.3841 4.3841 5.2948 90.00 90.00 90.00
With the nearest neighbours (Å) after each atom.
Space group P4/mmm (No. 123)
Inequivalent atoms, fractional coordinates:
Y 0.0000 0.0000 0.0000 [1 per cell]  4 Br 3.10, 8 V 3.44
V 0.0000 0.5000 0.5000 [2 per cell]  2 Fe 2.19
Fe 0.5000 0.5000 0.5000 [1 per cell]  4 V 2.19
Br 0.5000 0.5000 0.0000 [1 per cell]  2 Fe 2.65



Mg6CuPd2: optimized geometry, GGA-PBE.

Results
E above lowest polymorph = 9.4 kJ per mole of atoms
Energy relative to the elements = -0.261 eV/atom

Lattice parameters (Å, degrees): 13.9449 6.3188 4.5195 90.00 108.61 90.00
With the nearest neighbours (Å) after each atom.
Space group C2/m (No. 12)
Inequivalent atoms, fractional coordinates:
Mg 0.0000 0.2483 0.0000 [4 per cell]  2 Pd 2.71, 2 Cu 2.75
Mg 0.1674 0.2539 0.6677 [8 per cell]  3 Pd 2.72-2.74, 1 Cu 2.73
Cu 0.0000 0.0000 0.5000 [2 per cell]  8 Mg 2.73-2.75
Pd 0.1663 0.5000 0.1668 [4 per cell]  8 Mg 2.71-2.74



TbCdNiAu: optimized geometry, GGA-PBE.

Results
Energy relative to the elements = -0.400 eV/atom

Lattice parameters (Å, degrees): 6.7943 6.7943 6.7943 90.00 90.00 90.00
With the nearest neighbours (Å) after each atom.
Space group F-43m (No. 216)
Inequivalent atoms, fractional coordinates:
Tb 0.0000 0.0000 0.0000 [4 per cell]  4 Ni 2.94, 4 Au 2.94
Cd 0.0000 0.0000 0.5000 [4 per cell]  4 Au 2.94, 4 Ni 2.94
Ni 0.2500 0.2500 0.7500 [4 per cell]  4 Cd 2.94, 4 Tb 2.94
Au 0.2500 0.2500 0.2500 [4 per cell]  4 Tb 2.94, 4 Cd 2.94



So what do the calculations give for density of states at the Fermi level? Going down the list: 5.52 8.64 11.45 states/eV/cell.
So what do the calculations give for total DFT energy (no corrections)? Going down the list: -0.465 -0.216 -0.298 Ry/atom.
So what do the calculations give for calculated volume? Going down the list: 20.35 20.97 19.60 Å³ per atom.